Material: NaMgP2S
Method: DFT, GGA-PBEsol
State: optimized geometry

a b c (Å): 4.8021 4.8021 4.8806
angles (deg): 90.00 90.00 90.00
Space group P4/mmm (No. 123)
Asymmetric unit:
Na  0.0000  0.0000  0.0000 (multiplicity 1)
Mg  0.5000  0.5000  0.5000 (multiplicity 1)
P  0.0000  0.5000  0.5000 (multiplicity 2)
S  0.5000  0.5000  0.0000 (multiplicity 1)

Values from the calculation:
Formation energy (no corrections) ... 1.74 eV/f.u.

Material: ReO3
Method: DFT, GGA-PBEsol
State: optimized geometry

a b c (Å): 3.7630 3.7630 3.7630
angles (deg): 90.00 90.00 90.00
Space group Pm-3m (No. 221)
Asymmetric unit:
Re  0.0000  0.0000  0.0000 (multiplicity 1)
O  0.0000  0.0000  0.5000 (multiplicity 3)

Values from the calculation:
Formation energy (no corrections) ... -6.43 eV/f.u.

Material: Zr2Ni2Sn
Method: DFT, GGA-PBEsol
State: optimized geometry

a b c (Å): 7.0340 7.0340 3.3718
angles (deg): 90.00 90.00 90.00
Space group P4/mbm (No. 127)
Asymmetric unit:
Zr  0.1697  0.3303  0.0000 (multiplicity 4)
Ni  0.1247  0.6247  0.5000 (multiplicity 4)
Sn  0.0000  0.0000  0.5000 (multiplicity 2)

Values from the calculation:
Final energy ... -7.57 eV/atom

Material: NiSeS2
Method: DFT, GGA-PBEsol
State: optimized geometry

a b c (Å): 6.1010 6.1010 7.4120
angles (deg): 90.00 90.00 90.00
Space group I-42d (No. 122)
Asymmetric unit:
Ni  0.0000  0.0000  0.0000 (multiplicity 4)
Se  0.0000  0.0000  0.5000 (multiplicity 4)
S  0.1950  0.7500  0.1250 (multiplicity 8)

Values from the calculation:
Formation energy (no corrections) ... 0.21 eV/f.u.

Material: TmBi2ClO4
Method: DFT, GGA-PBEsol
State: optimized geometry

a b c (Å): 3.8202 3.8202 8.7948
angles (deg): 90.00 90.00 90.00
Space group P4/mmm (No. 123)
Asymmetric unit:
Tm  0.0000  0.0000  0.0000 (multiplicity 1)
Bi  0.5000  0.5000  0.2812 (multiplicity 2)
Cl  0.0000  0.0000  0.5000 (multiplicity 1)
O  0.0000  0.5000  0.1517 (multiplicity 4)

Values from the calculation:
Formation energy (no corrections) ... -16.81 eV/f.u.

Material: Si2RuAu
Method: DFT, GGA-PBEsol
State: optimized geometry

a b c (Å): 3.0927 3.6053 5.0710
angles (deg): 90.00 90.00 90.00
Space group Pmm2 (No. 25)
Asymmetric unit:
Si  0.0000  0.0000  0.0000 (multiplicity 1)
Si  0.5000  0.5000  0.3124 (multiplicity 1)
Ru  0.5000  0.5000  0.8431 (multiplicity 1)
Au  0.0000  0.0000  0.4967 (multiplicity 1)

Values from the calculation:
ΔE to the lowest computed polymorph ... 0 meV per atom
Formation energy (no corrections) ... -1.08 eV/f.u.

Material: CeSiOs
Method: DFT, GGA-PBEsol
State: optimized geometry

a b c (Å): 4.1608 4.1608 6.7065
angles (deg): 90.00 90.00 90.00
Space group P4/nmm (No. 129, origin choice 2)
Asymmetric unit:
Ce  0.2500  0.2500  0.1786 (multiplicity 2)
Si  0.2500  0.2500  0.6919 (multiplicity 2)
Os  0.2500  0.7500  0.5000 (multiplicity 2)

Values from the calculation:
Formation energy (no corrections) ... -1.86 eV/f.u.

Material: BeSn2Pd
Method: DFT, GGA-PBEsol
State: optimized geometry

a b c (Å): 6.6294 6.6294 6.6294
angles (deg): 90.00 90.00 90.00
Space group Fm-3m (No. 225)
Asymmetric unit:
Be  0.0000  0.0000  0.0000 (multiplicity 4)
Sn  0.2500  0.2500  0.2500 (multiplicity 8)
Pd  0.0000  0.0000  0.5000 (multiplicity 4)

Values from the calculation:
Final energy ... -4.49 eV/atom

Copy entry 6 word for word.
Material: Si2RuAu
Method: DFT, GGA-PBEsol
State: optimized geometry

a b c (Å): 3.0927 3.6053 5.0710
angles (deg): 90.00 90.00 90.00
Space group Pmm2 (No. 25)
Asymmetric unit:
Si  0.0000  0.0000  0.0000 (multiplicity 1)
Si  0.5000  0.5000  0.3124 (multiplicity 1)
Ru  0.5000  0.5000  0.8431 (multiplicity 1)
Au  0.0000  0.0000  0.4967 (multiplicity 1)

Values from the calculation:
ΔE to the lowest computed polymorph ... 0 meV per atom
Formation energy (no corrections) ... -1.08 eV/f.u.